1.
Compound: CsPuMgBr6
Source: the Alexandria database
Functional: PBE
Structure: relaxed

a b c (Å): 10.254 10.254 10.254
angles (deg): 122.03 118.60 89.48
Atoms (fractional coordinates):
Cs  0.295  0.045  0.250
Cs  0.705  0.955  0.750
Pu  0.000  0.500  0.500
Pu  0.500  0.500  0.000
Mg  0.000  0.000  0.500
Mg  0.000  0.500  0.000
Br  0.048  0.798  0.250
Br  0.059  0.399  0.218
Br  0.059  0.841  0.660
Br  0.319  0.159  0.718
Br  0.319  0.601  0.160
Br  0.335  0.585  0.750
Br  0.665  0.415  0.250
Br  0.681  0.399  0.840
Br  0.681  0.841  0.282
Br  0.941  0.159  0.340
Br  0.941  0.601  0.782
Br  0.952  0.202  0.750

**M_tot**: 5.000 μB per formula unit
**VASP energy**: -4.51 eV/atom
**Energy relative to the elements, uncorrected**: -1527 meV/atom
**DOS(E_F)**: 1.185 states/eV/atom


2.
Compound: ThScIr2
Source: the Alexandria database
Functional: PBE
Structure: relaxed

a b c (Å): 4.830 4.830 3.472
angles (deg): 90.00 90.00 90.00
Atoms (fractional coordinates):
Th  0.000  0.000  0.000
Sc  0.500  0.500  0.000
Ir  0.000  0.500  0.500
Ir  0.500  0.000  0.500

**M_tot**: 0.000 μB per formula unit
**VASP energy**: -8.67 eV/atom
**Formation energy**: -0.7968 eV per atom
**DOS(E_F)**: 0.492 states/eV/atom